MnGa2F8, relaxed, DFT PBE with a Hubbard U; energy above the lowest structure with this stoichiometry = 0.9 kJ/mol of atoms
1.0
4.069 -3.205 0.000
4.069 3.205 0.000
-1.060 0.000 5.129
Mn Ga F
1 2 8
direct
0.000 0.000 0.000
0.316 0.316 0.550
0.684 0.684 0.450
0.051 0.669 0.672
0.200 0.200 0.818
0.331 0.949 0.328
0.437 0.437 0.273
0.563 0.563 0.727
0.669 0.051 0.672
0.800 0.800 0.182
0.949 0.331 0.328

***

Here is an optimized crystal structure of Mn3GaF8 from Alexandria. Energies are from PBE with a Hubbard U.

```
Mn3GaF8
1.0
6.669 0.000 0.000
-3.334 5.775 0.000
0.000 0.000 9.455
Mn Ga F
6 2 16
direct
0.167 0.334 0.000
0.167 0.833 0.000
0.334 0.167 0.500
0.666 0.833 0.000
0.833 0.167 0.500
0.833 0.666 0.500
0.333 0.667 0.288
0.667 0.333 0.788
0.000 0.000 0.102
0.000 0.000 0.602
0.062 0.531 0.135
0.165 0.331 0.396
0.165 0.835 0.396
0.331 0.165 0.896
0.333 0.667 0.895
0.469 0.531 0.135
0.469 0.938 0.135
0.531 0.062 0.635
0.531 0.469 0.635
0.667 0.333 0.395
0.669 0.835 0.396
0.835 0.165 0.896
0.835 0.669 0.896
0.938 0.469 0.635
```

***

no.,M_tot (μB per formula unit),raw total energy (eV per atom)
1,5.0,-5.124
2,14.3,-5.805